CaBeOs3 | Alexandria | PBE | relaxed; magnetic moment = 1.8 μB/cell; energy above the lowest structure with this stoichiometry = 1292 kJ/mol of formula units; DOS(E_F) = 6.545 states/eV/cell; space-group type = Pm-3m, No. 221
1.0
-1.8536 -3.2078 2.7626
1.5530 -3.3208 -2.8140
3.9383 -0.2002 2.4099
Be Os Ca
1 3 1
Direct
0.5000 0.5000 0.5000
0.0000 0.5000 0.0000
0.5000 0.0000 0.0000
0.0000 0.0000 0.5000
0.0000 0.0000 0.0000